The following is a PBE with a Hubbard U calculation of an optimized crystal structure of MnPbCl2O, from the Alexandria database.

Results
VASP energy	-52.170	eV per cell
space group	Cmcm, No. 63

Cell: 3.714 7.096 8.678 Å, 90.00 90.00 105.17°
Atoms (fractional coordinates):
Mn 0.000 0.000 0.500
Mn 0.000 0.000 0.000
Pb 0.331 0.662 0.750
Pb 0.669 0.338 0.250
Cl 0.622 0.245 0.567
Cl 0.378 0.755 0.433
Cl 0.378 0.755 0.067
Cl 0.622 0.245 0.933
O 0.936 0.872 0.750
O 0.064 0.128 0.250